GGA-PBE MnAl3Cu2, optimized geometry; electronic total energy = -4.975 eV per atom; DFT formation energy = -0.21 eV/atom
1.0
-1.101 2.438 0.964
-2.224 -1.422 1.056
4.820 -1.200 8.536
Mn Al Cu
1 3 2
Direct
0.500 0.500 0.500
0.000 0.000 0.000
0.000 0.000 0.665
0.000 0.000 0.335
0.500 0.500 0.835
0.500 0.500 0.165

***

GGA-PBE ZrFe2Cu2, optimized geometry; electronic total energy = -6.608 eV per atom; DFT formation energy = 0.13 eV/atom
1.0
-6.364 1.800 -2.802
0.450 -5.524 -4.569
-1.233 -1.578 1.787
Cu Zr Fe
4 2 4
Direct
0.177 0.677 0.500
0.677 0.823 0.500
0.823 0.323 0.500
0.323 0.177 0.500
0.000 0.000 0.000
0.500 0.500 0.000
0.383 0.883 0.000
0.883 0.617 0.000
0.617 0.117 0.000
0.117 0.383 0.000

***

GGA-PBE RbNaI, optimized geometry; electronic total energy = -2.166 eV per atom; formation energy from raw total energies = -0.887 eV per atom
1.0
-2.320 -1.216 4.267
-3.611 -1.566 -2.410
5.300 -11.578 -0.418
Rb Na I
2 2 2
Direct
0.148 0.500 0.092
0.643 0.500 0.443
0.143 0.000 0.668
0.644 0.500 0.784
0.648 0.000 0.974
0.143 0.000 0.324

***

GGA-PBE Mg2Sc4Pa, optimized geometry; electronic total energy = -5.360 eV per atom; DFT formation energy = 0.07 eV/atom
1.0
-2.074 -1.173 2.129
2.230 0.139 2.249
-3.856 16.295 2.820
Mg Sc Pa
2 4 1
Direct
0.790 0.500 0.580
0.210 0.500 0.420
0.071 0.500 0.143
0.642 0.000 0.285
0.929 0.500 0.857
0.358 0.000 0.715
0.500 0.000 0.000

***

GGA-PBE Ta7Mo6, optimized geometry; electronic total energy = -11.025 eV per atom; DFT formation energy = 0.36 eV/atom
1.0
-1.344 4.852 -8.349
-6.261 3.527 -6.589
-3.718 7.800 -4.515
Mo Ta
6 7
Direct
0.956 0.956 0.956
0.044 0.044 0.044
0.852 0.852 0.852
0.148 0.148 0.148
0.668 0.668 0.668
0.332 0.332 0.332
0.916 0.410 0.410
0.410 0.410 0.916
0.410 0.916 0.410
0.084 0.590 0.590
0.590 0.084 0.590
0.590 0.590 0.084
0.500 0.500 0.500

***

GGA-PBE SrNdAlHg, optimized geometry; electronic total energy = -2.945 eV per atom; DFT formation energy = -0.32 eV/atom
1.0
-4.645 -0.751 -2.845
-4.685 -1.147 2.639
-4.009 3.755 0.242
Sr Nd Hg Al
1 1 1 1
Direct
0.250 0.250 0.250
0.750 0.750 0.750
0.500 0.500 0.500
0.000 0.000 0.000

***

GGA-PBE SrSiSe3, optimized geometry; electronic total energy = -4.236 eV per atom; formation energy from raw total energies = -0.725 eV per atom
1.0
4.974 0.000 0.000
0.000 4.974 0.000
0.000 0.000 4.974
Sr Si Se
1 1 3
Direct
0.500 0.500 0.500
0.000 0.000 0.000
0.000 0.500 0.000
0.000 0.000 0.500
0.500 0.000 0.000

***

GGA-PBE NaNdPu2S4, optimized geometry; electronic total energy = -8.151 eV per atom; formation energy from raw total energies = -1.743 eV per atom
1.0
-3.679 -1.515 0.597
1.468 -5.269 -4.327
2.760 -5.274 3.623
Na Nd Pu S
1 1 2 4
Direct
0.000 0.500 0.500
0.500 0.500 0.000
0.000 0.000 0.000
0.500 0.000 0.500
0.000 0.759 0.747
0.000 0.241 0.253
0.500 0.761 0.244
0.500 0.239 0.756

***

GGA-PBE PaAg3Cl2F6, optimized geometry; electronic total energy = -4.964 eV per atom; formation energy from raw total energies = -2.216 eV per atom
1.0
5.091 0.000 -0.197
0.000 7.469 0.000
-1.048 -3.734 7.180
Pa Ag Cl F
1 3 2 6
Direct
0.500 0.000 0.000
0.000 0.500 0.000
0.500 0.500 0.500
0.500 0.000 0.500
0.240 0.670 0.340
0.760 0.330 0.660
0.754 0.270 0.129
0.246 0.730 0.871
0.696 0.883 0.766
0.304 0.117 0.234
0.246 0.141 0.871
0.754 0.859 0.129

***

GGA-PBE Li4Dy3AsS8, optimized geometry; electronic total energy = -5.210 eV per atom; formation energy from raw total energies = -1.514 eV per atom
1.0
7.729 0.000 0.000
0.000 7.604 -0.097
-3.865 -3.861 5.467
Li Dy As S
4 3 1 8
Direct
0.500 0.000 0.000
0.500 0.000 0.500
0.000 0.000 0.000
0.000 0.000 0.500
0.500 0.500 0.000
0.500 0.500 0.500
0.000 0.500 0.500
0.000 0.500 0.000
0.243 0.747 0.004
0.243 0.747 0.485
0.249 0.248 0.499
0.762 0.747 0.004
0.238 0.253 0.996
0.751 0.752 0.501
0.757 0.253 0.515
0.757 0.253 0.996

***

GGA-PBE Ac8La3Er, optimized geometry; electronic total energy = -3.789 eV per atom; DFT formation energy = 0.56 eV/atom
1.0
-0.057 -6.322 -6.744
8.119 3.140 3.111
-2.639 -2.508 8.496
Ac La Er
8 3 1
Direct
0.492 0.234 0.234
0.508 0.742 0.742
0.000 0.766 0.258
0.000 0.258 0.766
0.260 0.372 0.372
0.740 0.112 0.112
0.000 0.628 0.888
0.000 0.888 0.628
0.500 0.750 0.250
0.500 0.250 0.750
0.000 0.500 0.500
0.000 0.000 0.000

***

GGA-PBE NpGa12Cu6, optimized geometry; electronic total energy = -3.887 eV per atom; DFT formation energy = 0.00 eV/atom
1.0
-1.586 1.914 6.671
-6.290 -0.326 -3.318
2.104 -6.780 0.530
Np Ga Cu
1 12 6
Direct
0.000 0.000 0.000
0.887 0.113 0.500
0.858 0.607 0.607
0.607 0.607 0.858
0.393 0.142 0.393
0.393 0.393 0.142
0.142 0.393 0.393
0.113 0.500 0.887
0.500 0.887 0.113
0.113 0.887 0.500
0.887 0.500 0.113
0.500 0.113 0.887
0.607 0.858 0.607
0.712 0.289 0.289
0.289 0.289 0.712
0.289 0.712 0.289
0.711 0.711 0.288
0.288 0.711 0.711
0.711 0.288 0.711